Record 1
## YMgIn3 (PBEsol)

Data for a geometry-optimized YMgIn3 structure.

Unit cell a=5.195 b=5.195 c=5.195 alpha=90.00 beta=90.00 gamma=90.00
Space group Pm-3m (No. 221)
Symmetry-distinct sites (fractional):
Y1 0.000 0.000 0.000 [1 per cell]
Mg1 0.500 0.500 0.500 [1 per cell]
In1 0.000 0.500 0.500 [3 per cell]

Calculated formation energy in eV/atom: 0.239
Electronic total energy in eV per atom: -3.26

=====

Record 2
## MnAlP2O (PBEsol)

Data for a geometry-optimized MnAlP2O structure.

Unit cell a=4.897 b=4.897 c=3.307 alpha=90.00 beta=90.00 gamma=90.00
Space group P4/mmm (No. 123)
Symmetry-distinct sites (fractional):
Mn1 0.000 0.000 0.000 [1 per cell]
Al1 0.500 0.500 0.500 [1 per cell]
P1 0.000 0.500 0.500 [2 per cell]
O1 0.500 0.500 0.000 [1 per cell]

Relative energy among the computed polymorphs in kJ/mol of formula units: 77
Electronic total energy in eV per atom: -6.20
Energy relative to the elements, uncorrected in eV per atom: -0.064

=====

Record 3
## ScIr4Ru (PBEsol)

Data for a geometry-optimized ScIr4Ru structure.

Unit cell a=7.229 b=7.229 c=7.229 alpha=90.00 beta=90.00 gamma=90.00
Space group F-43m (No. 216)
Symmetry-distinct sites (fractional):
Sc1 0.000 0.000 0.000 [4 per cell]
Ir1 0.125 0.125 0.375 [16 per cell]
Ru1 0.250 0.250 0.750 [4 per cell]

Calculated formation energy in eV/atom: 0.028
Electronic total energy in eV per atom: -9.32

=====

Record 4
## ZrZn5 (PBEsol)

Data for a geometry-optimized ZrZn5 structure.

Unit cell a=3.047 b=3.047 c=9.793 alpha=90.00 beta=90.00 gamma=90.00
Space group P4/mmm (No. 123)
Symmetry-distinct sites (fractional):
Zr1 0.000 0.000 0.000 [1 per cell]
Zn1 0.000 0.000 0.345 [2 per cell]
Zn2 0.500 0.500 0.195 [2 per cell]
Zn3 0.500 0.500 0.500 [1 per cell]

Calculated formation energy in eV/atom: -0.117
Electronic total energy in eV per atom: -2.95

=====

Record 5
## BaRe2Cl (PBEsol)

Data for a geometry-optimized BaRe2Cl structure.

Unit cell a=3.107 b=4.446 c=12.936 alpha=90.00 beta=90.00 gamma=90.00
Space group Immm (No. 71)
Symmetry-distinct sites (fractional):
Ba1 0.000 0.000 0.000 [2 per cell]
Re1 0.000 0.500 0.243 [4 per cell]
Cl1 0.000 0.000 0.500 [2 per cell]

Relative energy among the computed polymorphs in kJ/mol of formula units: 0
Electronic total energy in eV per atom: -7.00
Energy relative to the elements, uncorrected in eV per atom: 0.704

=====

Record 6
## KCu2MoO (PBEsol)

Data for a geometry-optimized KCu2MoO structure.

Unit cell a=4.713 b=4.713 c=3.808 alpha=90.00 beta=90.00 gamma=90.00
Space group P4/mmm (No. 123)
Symmetry-distinct sites (fractional):
K1 0.000 0.000 0.000 [1 per cell]
Cu1 0.000 0.500 0.500 [2 per cell]
Mo1 0.500 0.500 0.000 [1 per cell]
O1 0.500 0.500 0.500 [1 per cell]

Electronic total energy in eV per atom: -4.79
Energy relative to the elements, uncorrected in eV per atom: 0.578

=====

Record 7
## ZnSnN3 (PBEsol)

Data for a geometry-optimized ZnSnN3 structure.

Unit cell a=3.878 b=3.878 c=3.878 alpha=90.00 beta=90.00 gamma=90.00
Space group Pm-3m (No. 221)
Symmetry-distinct sites (fractional):
Zn1 0.000 0.000 0.000 [1 per cell]
Sn1 0.500 0.500 0.500 [1 per cell]
N1 0.000 0.000 0.500 [3 per cell]

Electronic total energy in eV per atom: -4.69
Energy relative to the elements, uncorrected in eV per atom: 1.597

=====

Record 8
## H8PtO6 (PBEsol)

Data for a geometry-optimized H8PtO6 structure.

Unit cell a=5.387 b=5.409 c=7.255 alpha=88.16 beta=85.90 gamma=82.97
Space group P1 (No. 1)
Symmetry-distinct sites (fractional):
H1 0.000 0.000 0.000 [1 per cell]
H2 0.003 0.368 0.383 [1 per cell]
H3 0.032 0.904 0.274 [1 per cell]
H4 0.100 0.404 0.917 [1 per cell]
H5 0.222 0.727 0.762 [1 per cell]
H6 0.313 0.000 0.168 [1 per cell]
H7 0.320 0.693 0.508 [1 per cell]
H8 0.365 0.046 0.665 [1 per cell]
H9 0.416 0.306 0.780 [1 per cell]
H10 0.456 0.406 0.506 [1 per cell]
H11 0.614 0.111 0.268 [1 per cell]
H12 0.697 0.679 0.880 [1 per cell]
H13 0.712 0.138 0.016 [1 per cell]
H14 0.736 0.775 0.408 [1 per cell]
H15 0.807 0.545 0.149 [1 per cell]
H16 0.874 0.480 0.649 [1 per cell]
Pt1 0.346 0.518 0.167 [1 per cell]
Pt2 0.846 0.018 0.667 [1 per cell]
O1 0.021 0.389 0.239 [1 per cell]
O2 0.176 0.874 0.164 [1 per cell]
O3 0.200 0.857 0.657 [1 per cell]
O4 0.261 0.479 0.907 [1 per cell]
O5 0.442 0.565 0.427 [1 per cell]
O6 0.488 0.188 0.668 [1 per cell]
O7 0.508 0.166 0.160 [1 per cell]
O8 0.665 0.655 0.086 [1 per cell]
O9 0.712 0.698 0.737 [1 per cell]
O10 0.812 0.934 0.404 [1 per cell]
O11 0.880 0.120 0.928 [1 per cell]
O12 0.987 0.333 0.586 [1 per cell]

Electronic total energy in eV per atom: -5.25

=====

Record 9
## Zn2CuCl (PBEsol)

Data for a geometry-optimized Zn2CuCl structure.

Unit cell a=4.343 b=3.072 c=5.112 alpha=90.00 beta=114.97 gamma=90.00
Space group P2/m (No. 10)
Symmetry-distinct sites (fractional):
Zn1 0.000 0.000 0.000 [1 per cell]
Zn2 0.500 0.500 0.500 [1 per cell]
Cu1 0.000 0.000 0.500 [1 per cell]
Cl1 0.500 0.500 0.000 [1 per cell]

Relative energy among the computed polymorphs in kJ/mol of formula units: 0
Electronic total energy in eV per atom: -2.29
Energy relative to the elements, uncorrected in eV per atom: 0.084

=====

Record 10
## K2TlSi (PBEsol)

Data for a geometry-optimized K2TlSi structure.

Unit cell a=7.689 b=7.689 c=7.689 alpha=90.00 beta=90.00 gamma=90.00
Space group F-43m (No. 216)
Symmetry-distinct sites (fractional):
K1 0.000 0.000 0.000 [4 per cell]
K2 0.250 0.250 0.250 [4 per cell]
Tl1 0.250 0.250 0.750 [4 per cell]
Si1 0.000 0.000 0.500 [4 per cell]

Electronic total energy in eV per atom: -2.47
Energy relative to the elements, uncorrected in eV per atom: 0.193

=====

Record 11
## YW2NO (PBEsol)

Data for a geometry-optimized YW2NO structure.

Unit cell a=4.921 b=4.921 c=3.956 alpha=90.00 beta=90.00 gamma=90.00
Space group P4/mmm (No. 123)
Symmetry-distinct sites (fractional):
Y1 0.000 0.000 0.000 [1 per cell]
W1 0.000 0.500 0.000 [2 per cell]
N1 0.000 0.000 0.500 [1 per cell]
O1 0.500 0.500 0.500 [1 per cell]

Electronic total energy in eV per atom: -6.37
Energy relative to the elements, uncorrected in eV per atom: 3.271

=====

Record 12
## Zr2TlTe (PBEsol)

Data for a geometry-optimized Zr2TlTe structure.

Unit cell a=3.896 b=3.896 c=6.074 alpha=90.00 beta=90.00 gamma=90.00
Space group P4mm (No. 99)
Symmetry-distinct sites (fractional):
Zr1 0.000 0.000 0.000 [1 per cell]
Zr2 0.500 0.500 0.296 [1 per cell]
Tl1 0.500 0.500 0.814 [1 per cell]
Te1 0.000 0.000 0.484 [1 per cell]

Relative energy among the computed polymorphs in kJ/mol of formula units: 0
Electronic total energy in eV per atom: -6.47
Energy relative to the elements, uncorrected in eV per atom: -0.383

=====

Record 13
## KMn2RuPt (PBEsol)

Data for a geometry-optimized KMn2RuPt structure.

Unit cell a=4.443 b=4.443 c=4.342 alpha=90.00 beta=90.00 gamma=90.00
Space group P4/mmm (No. 123)
Symmetry-distinct sites (fractional):
K1 0.000 0.000 0.000 [1 per cell]
Mn1 0.000 0.500 0.000 [2 per cell]
Ru1 0.000 0.000 0.500 [1 per cell]
Pt1 0.500 0.500 0.500 [1 per cell]

Calculated formation energy in eV/atom: 2.454
Electronic total energy in eV per atom: -5.10

=====

Record 14
## CrReOs (PBEsol)

Data for a geometry-optimized CrReOs structure.

Unit cell a=5.661 b=5.661 c=5.661 alpha=90.00 beta=90.00 gamma=90.00
Space group F-43m (No. 216)
Symmetry-distinct sites (fractional):
Cr1 0.000 0.000 0.000 [4 per cell]
Re1 0.250 0.250 0.250 [4 per cell]
Os1 0.250 0.250 0.750 [4 per cell]

Calculated formation energy in eV/atom: 0.660
Relative energy among the computed polymorphs in kJ/mol of formula units: 115
Electronic total energy in eV per atom: -11.27

=====

Record 15
## FeCoSi3 (PBEsol)

Data for a geometry-optimized FeCoSi3 structure.

Unit cell a=4.235 b=4.235 c=4.235 alpha=90.00 beta=90.00 gamma=90.00
Space group Pm-3m (No. 221)
Symmetry-distinct sites (fractional):
Fe1 0.000 0.000 0.000 [1 per cell]
Co1 0.500 0.500 0.500 [1 per cell]
Si1 0.000 0.500 0.500 [3 per cell]

Electronic total energy in eV per atom: -6.17
Energy relative to the elements, uncorrected in eV per atom: 0.621

=====

Record 16
## Li2TlSb (PBEsol)

Data for a geometry-optimized Li2TlSb structure.

Unit cell a=10.266 b=3.465 c=4.806 alpha=90.00 beta=97.30 gamma=90.00
Space group Cm (No. 8)
Symmetry-distinct sites (fractional):
Li1 0.000 0.000 0.000 [2 per cell]
Li2 0.238 0.000 0.655 [2 per cell]
Tl1 0.243 0.500 0.147 [2 per cell]
Sb1 0.010 0.500 0.513 [2 per cell]

Electronic total energy in eV per atom: -3.11
Energy relative to the elements, uncorrected in eV per atom: -0.328

=====

Record 17
## CeAl4 (PBEsol)

Data for a geometry-optimized CeAl4 structure.

Unit cell a=4.184 b=4.184 c=11.317 alpha=90.00 beta=90.00 gamma=90.00
Space group I4/mmm (No. 139)
Symmetry-distinct sites (fractional):
Ce1 0.000 0.000 0.000 [2 per cell]
Al1 0.000 0.000 0.390 [4 per cell]
Al2 0.000 0.500 0.250 [4 per cell]

Calculated formation energy in eV/atom: -0.247
Electronic total energy in eV per atom: -4.84

=====

Record 18
## BeHg2Ir (PBEsol)

Data for a geometry-optimized BeHg2Ir structure.

Unit cell a=3.029 b=3.761 c=5.617 alpha=90.00 beta=90.00 gamma=90.00
Space group Pmmm (No. 47)
Symmetry-distinct sites (fractional):
Be1 0.000 0.000 0.000 [1 per cell]
Hg1 0.500 0.500 0.242 [2 per cell]
Ir1 0.000 0.000 0.500 [1 per cell]

Calculated formation energy in eV/atom: 0.473
Electronic total energy in eV per atom: -3.27

=====

Record 19
## CdPbSN2 (PBEsol)

Data for a geometry-optimized CdPbSN2 structure.

Unit cell a=4.240 b=4.240 c=5.486 alpha=90.00 beta=90.00 gamma=90.00
Space group P4/mmm (No. 123)
Symmetry-distinct sites (fractional):
Cd1 0.000 0.000 0.000 [1 per cell]
Pb1 0.500 0.500 0.500 [1 per cell]
S1 0.500 0.500 0.000 [1 per cell]
N1 0.000 0.500 0.500 [2 per cell]

Electronic total energy in eV per atom: -3.86
Energy relative to the elements, uncorrected in eV per atom: 1.465

=====

Record 20
## HfFe3As (PBEsol)

Data for a geometry-optimized HfFe3As structure.

Unit cell a=4.190 b=4.190 c=4.190 alpha=90.00 beta=90.00 gamma=90.00
Space group Pm-3m (No. 221)
Symmetry-distinct sites (fractional):
Hf1 0.000 0.000 0.000 [1 per cell]
Fe1 0.000 0.500 0.500 [3 per cell]
As1 0.500 0.500 0.500 [1 per cell]

Calculated formation energy in eV/atom: 0.437
Electronic total energy in eV per atom: -8.06